(1)
# Mn2CuMo | the Alexandria database | GGA-PBE | relaxed
data_Mn2CuMo
_cell_length_a 2.547
_cell_length_b 4.207
_cell_length_c 4.787
_cell_angle_alpha 90.00
_cell_angle_beta 95.73
_cell_angle_gamma 90.00
_symmetry_space_group_name_H-M 'P 1'
_symmetry_Int_Tables_number 1
loop_
_symmetry_equiv_pos_as_xyz
'x,y,z'
loop_
_atom_site_label
_atom_site_fract_x
_atom_site_fract_y
_atom_site_fract_z
_atom_site_occupancy
Mn1 0.233 0.000 0.243 1
Mn2 0.767 0.000 0.757 1
Cu1 0.500 0.500 0.000 1
Mo1 0.000 0.500 0.500 1
# SG	P2/m, No. 10
# E_form	1.03	eV per formula unit
# volume	51.0	Å³ per cell



(2)
# Mn2CuMo | the Alexandria database | GGA-PBE | relaxed
data_Mn2CuMo
_cell_length_a 2.609
_cell_length_b 2.609
_cell_length_c 8.161
_cell_angle_alpha 90.00
_cell_angle_beta 90.00
_cell_angle_gamma 106.16
_symmetry_space_group_name_H-M 'P 1'
_symmetry_Int_Tables_number 1
loop_
_symmetry_equiv_pos_as_xyz
'x,y,z'
loop_
_atom_site_label
_atom_site_fract_x
_atom_site_fract_y
_atom_site_fract_z
_atom_site_occupancy
Mn1 0.000 0.000 0.243 1
Mn2 0.000 0.000 0.757 1
Cu1 0.500 0.500 0.000 1
Mo1 0.500 0.500 0.500 1
# SG	Cmmm, No. 65
# E_form	0.95	eV per formula unit
# volume	53.4	Å³ per cell



(3)
# MnCu2Mo | the Alexandria database | GGA-PBE | relaxed
data_MnCu2Mo
_cell_length_a 3.482
_cell_length_b 3.482
_cell_length_c 4.158
_cell_angle_alpha 90.00
_cell_angle_beta 90.00
_cell_angle_gamma 90.00
_symmetry_space_group_name_H-M 'P 1'
_symmetry_Int_Tables_number 1
loop_
_symmetry_equiv_pos_as_xyz
'x,y,z'
loop_
_atom_site_label
_atom_site_fract_x
_atom_site_fract_y
_atom_site_fract_z
_atom_site_occupancy
Mn1 0.000 0.000 0.000 1
Cu1 0.000 0.500 0.500 1
Cu2 0.500 0.000 0.500 1
Mo1 0.500 0.500 0.000 1
# SG	P4/mmm, No. 123
# E_form	0.98	eV per formula unit
# volume	50.4	Å³ per cell



(4)
# Mn2CuMo | the Alexandria database | GGA-PBE | relaxed
data_Mn2CuMo
_cell_length_a 2.614
_cell_length_b 3.737
_cell_length_c 5.298
_cell_angle_alpha 90.00
_cell_angle_beta 90.00
_cell_angle_gamma 90.00
_symmetry_space_group_name_H-M 'P 1'
_symmetry_Int_Tables_number 1
loop_
_symmetry_equiv_pos_as_xyz
'x,y,z'
loop_
_atom_site_label
_atom_site_fract_x
_atom_site_fract_y
_atom_site_fract_z
_atom_site_occupancy
Mn1 0.000 0.000 0.000 1
Mn2 0.500 0.500 0.229 1
Cu1 0.500 0.500 0.754 1
Mo1 0.000 0.000 0.490 1
# SG	Pmm2, No. 25
# E_form	0.79	eV per formula unit
# volume	51.8	Å³ per cell



(5)
# Mn2CuMo | the Alexandria database | GGA-PBE | relaxed
data_Mn2CuMo
_cell_length_a 4.196
_cell_length_b 4.196
_cell_length_c 4.196
_cell_angle_alpha 60.00
_cell_angle_beta 60.00
_cell_angle_gamma 60.00
_symmetry_space_group_name_H-M 'P 1'
_symmetry_Int_Tables_number 1
loop_
_symmetry_equiv_pos_as_xyz
'x,y,z'
loop_
_atom_site_label
_atom_site_fract_x
_atom_site_fract_y
_atom_site_fract_z
_atom_site_occupancy
Mn1 0.000 0.000 0.000 1
Mn2 0.250 0.250 0.250 1
Cu1 0.500 0.500 0.500 1
Mo1 0.750 0.750 0.750 1
# SG	F-43m, No. 216
# E_form	1.18	eV per formula unit
# volume	52.2	Å³ per cell



(6)
# MnCu2Mo | the Alexandria database | GGA-PBE | relaxed
data_MnCu2Mo
_cell_length_a 4.538
_cell_length_b 4.538
_cell_length_c 4.708
_cell_angle_alpha 98.77
_cell_angle_beta 98.77
_cell_angle_gamma 33.66
_symmetry_space_group_name_H-M 'P 1'
_symmetry_Int_Tables_number 1
loop_
_symmetry_equiv_pos_as_xyz
'x,y,z'
loop_
_atom_site_label
_atom_site_fract_x
_atom_site_fract_y
_atom_site_fract_z
_atom_site_occupancy
Mn1 0.000 0.000 0.000 1
Cu1 0.256 0.256 0.732 1
Cu2 0.510 0.510 0.511 1
Mo1 0.756 0.756 0.233 1
# SG	Cm, No. 8
# E_form	1.00	eV per formula unit
# volume	53.1	Å³ per cell



(7)
# MnCu2Mo | the Alexandria database | GGA-PBE | relaxed
data_MnCu2Mo
_cell_length_a 2.514
_cell_length_b 4.101
_cell_length_c 4.914
_cell_angle_alpha 90.00
_cell_angle_beta 90.00
_cell_angle_gamma 90.00
_symmetry_space_group_name_H-M 'P 1'
_symmetry_Int_Tables_number 1
loop_
_symmetry_equiv_pos_as_xyz
'x,y,z'
loop_
_atom_site_label
_atom_site_fract_x
_atom_site_fract_y
_atom_site_fract_z
_atom_site_occupancy
Mn1 0.000 0.000 0.000 1
Cu1 0.500 0.500 0.244 1
Cu2 0.500 0.500 0.756 1
Mo1 0.000 0.000 0.500 1
# SG	Pmmm, No. 47
# E_form	1.07	eV per formula unit
# volume	50.7	Å³ per cell



(8)
# MnCu2Mo | the Alexandria database | GGA-PBE | relaxed
data_MnCu2Mo
_cell_length_a 4.165
_cell_length_b 4.165
_cell_length_c 4.165
_cell_angle_alpha 60.00
_cell_angle_beta 60.00
_cell_angle_gamma 60.00
_symmetry_space_group_name_H-M 'P 1'
_symmetry_Int_Tables_number 1
loop_
_symmetry_equiv_pos_as_xyz
'x,y,z'
loop_
_atom_site_label
_atom_site_fract_x
_atom_site_fract_y
_atom_site_fract_z
_atom_site_occupancy
Mn1 0.000 0.000 0.000 1
Cu1 0.250 0.250 0.250 1
Cu2 0.750 0.750 0.750 1
Mo1 0.500 0.500 0.500 1
# SG	Fm-3m, No. 225
# E_form	2.18	eV per formula unit
# volume	51.1	Å³ per cell



> Among the records above, which one has the lowest E_form?

number 4



> The highest volume belongs to which entry?

number 2



> What is the E_form in the first record?

1.03 eV per formula unit